[1]
Na3Te4Pd4 | PBE | optimized geometry

Results
* energy relative to the elements, uncorrected: -0.48 eV per atom

Geometry as CIF:
```
data_Na3Te4Pd4
_cell_length_a 8.284
_cell_length_b 8.284
_cell_length_c 8.284
_cell_angle_alpha 90.00
_cell_angle_beta 90.00
_cell_angle_gamma 90.00
_symmetry_space_group_name_H-M 'I -4 3 m'
_symmetry_Int_Tables_number 217
_symmetry_space_group_name_Hall 'I -4 2 3'
loop_
_atom_site_label
_atom_site_type_symbol
_atom_site_fract_x
_atom_site_fract_y
_atom_site_fract_z
Na1 Na 0.000 0.000 0.500
Te1 Te 0.189 0.189 0.189
Pd1 Pd 0.130 0.130 0.870
```

---

[2]
Ge2SbAu | PBE | optimized geometry

Results
* energy relative to the elements, uncorrected: 0.33 eV per atom

Geometry as CIF:
```
data_Ge2SbAu
_cell_length_a 3.9039
_cell_length_b 3.9039
_cell_length_c 24.6899
_cell_angle_alpha 90.00
_cell_angle_beta 90.00
_cell_angle_gamma 120.00
_symmetry_space_group_name_H-M 'R -3 m'
_symmetry_Int_Tables_number 166
_symmetry_space_group_name_Hall '-R 3 2"'
loop_
_atom_site_label
_atom_site_type_symbol
_atom_site_fract_x
_atom_site_fract_y
_atom_site_fract_z
Ge1 Ge 0.0000 0.0000 0.0992
Sb1 Sb 0.0000 0.0000 0.5000
Au1 Au 0.0000 0.0000 0.0000
```

---

[3]
ZrAs2PdSe | PBE | optimized geometry

Results
* energy relative to the elements, uncorrected: 0.25 eV per atom

Geometry as CIF:
```
data_ZrAs2PdSe
_cell_length_a 4.794
_cell_length_b 4.794
_cell_length_c 4.914
_cell_angle_alpha 90.00
_cell_angle_beta 90.00
_cell_angle_gamma 90.00
_symmetry_space_group_name_H-M 'P 4/m m m'
_symmetry_Int_Tables_number 123
_symmetry_space_group_name_Hall '-P 4 2'
loop_
_atom_site_label
_atom_site_type_symbol
_atom_site_fract_x
_atom_site_fract_y
_atom_site_fract_z
Zr1 Zr 0.000 0.000 0.000
As1 As 0.000 0.500 0.500
Pd1 Pd 0.500 0.500 0.500
Se1 Se 0.500 0.500 0.000
```

---

[4]
GeRu2Au | PBE | optimized geometry

Results
* energy of formation from the pure elements: 0.55 eV per atom

Geometry as CIF:
```
data_GeRu2Au
_cell_length_a 3.855
_cell_length_b 3.855
_cell_length_c 18.858
_cell_angle_alpha 90.00
_cell_angle_beta 90.00
_cell_angle_gamma 90.00
_symmetry_space_group_name_H-M 'I -4 2 d'
_symmetry_Int_Tables_number 122
_symmetry_space_group_name_Hall 'I -4 2bw'
loop_
_atom_site_label
_atom_site_type_symbol
_atom_site_fract_x
_atom_site_fract_y
_atom_site_fract_z
Ge1 Ge 0.000 0.000 0.000
Ru1 Ru 0.184 0.250 0.125
Au1 Au 0.000 0.000 0.500
```

---

[5]
Mn3MoOs | PBE | optimized geometry

Results
* energy of formation from the pure elements: 1.79 eV per atom

Geometry as CIF:
```
data_Mn3MoOs
_cell_length_a 4.393
_cell_length_b 4.393
_cell_length_c 4.393
_cell_angle_alpha 90.00
_cell_angle_beta 90.00
_cell_angle_gamma 90.00
_symmetry_space_group_name_H-M 'P m -3 m'
_symmetry_Int_Tables_number 221
_symmetry_space_group_name_Hall '-P 4 2 3'
loop_
_atom_site_label
_atom_site_type_symbol
_atom_site_fract_x
_atom_site_fract_y
_atom_site_fract_z
Mn1 Mn 0.000 0.000 0.500
Mo1 Mo 0.500 0.500 0.500
Os1 Os 0.000 0.000 0.000
```

---

[6]
AlZn2Pb | PBE | optimized geometry

Results
* energy of formation from the pure elements: 0.24 eV per atom

Geometry as CIF:
```
data_AlZn2Pb
_cell_length_a 6.222
_cell_length_b 8.064
_cell_length_c 3.296
_cell_angle_alpha 90.00
_cell_angle_beta 92.10
_cell_angle_gamma 90.00
_symmetry_space_group_name_H-M 'C 1 2/m 1'
_symmetry_Int_Tables_number 12
loop_
_symmetry_equiv_pos_as_xyz
'x,y,z'
'-x,-y,-z'
'-x,y,-z'
'x,-y,z'
'x+1/2,y+1/2,z'
'-x+1/2,-y+1/2,-z'
'-x+1/2,y+1/2,-z'
'x+1/2,-y+1/2,z'
loop_
_atom_site_label
_atom_site_type_symbol
_atom_site_fract_x
_atom_site_fract_y
_atom_site_fract_z
Al1 Al 0.000 0.000 0.000
Zn1 Zn 0.250 0.250 0.500
Pb1 Pb 0.000 0.500 0.000
```

---

[7]
BaZr2Sb | PBE | optimized geometry

Results
* energy relative to the elements, uncorrected: 0.11 eV per atom

Geometry as CIF:
```
data_BaZr2Sb
_cell_length_a 3.514
_cell_length_b 5.252
_cell_length_c 6.395
_cell_angle_alpha 90.00
_cell_angle_beta 98.49
_cell_angle_gamma 90.00
_symmetry_space_group_name_H-M 'P 1 2/m 1'
_symmetry_Int_Tables_number 10
loop_
_symmetry_equiv_pos_as_xyz
'x,y,z'
'-x,-y,-z'
'-x,y,-z'
'x,-y,z'
loop_
_atom_site_label
_atom_site_type_symbol
_atom_site_fract_x
_atom_site_fract_y
_atom_site_fract_z
Ba1 Ba 0.000 0.000 0.000
Zr1 Zr 0.325 0.500 0.695
Sb1 Sb 0.500 0.000 0.500
```

---

[8]
TlSiPb2 | PBE | optimized geometry

Results
* energy relative to the elements, uncorrected: 0.35 eV per atom

Geometry as CIF:
```
data_TlSiPb2
_cell_length_a 6.946
_cell_length_b 9.395
_cell_length_c 3.402
_cell_angle_alpha 90.00
_cell_angle_beta 93.32
_cell_angle_gamma 90.00
_symmetry_space_group_name_H-M 'C 1 2/m 1'
_symmetry_Int_Tables_number 12
loop_
_symmetry_equiv_pos_as_xyz
'x,y,z'
'-x,-y,-z'
'-x,y,-z'
'x,-y,z'
'x+1/2,y+1/2,z'
'-x+1/2,-y+1/2,-z'
'-x+1/2,y+1/2,-z'
'x+1/2,-y+1/2,z'
loop_
_atom_site_label
_atom_site_type_symbol
_atom_site_fract_x
_atom_site_fract_y
_atom_site_fract_z
Tl1 Tl 0.000 0.000 0.000
Si1 Si 0.000 0.500 0.000
Pb1 Pb 0.250 0.250 0.500
```

---

[9]
PrGa2F8 | PBE | optimized geometry

Results
* energy relative to the elements, uncorrected: -2.89 eV per atom

Geometry as CIF:
```
data_PrGa2F8
_cell_length_a 9.053
_cell_length_b 7.225
_cell_length_c 5.298
_cell_angle_alpha 90.00
_cell_angle_beta 97.16
_cell_angle_gamma 90.00
_symmetry_space_group_name_H-M 'C 1 2/m 1'
_symmetry_Int_Tables_number 12
loop_
_symmetry_equiv_pos_as_xyz
'x,y,z'
'-x,-y,-z'
'-x,y,-z'
'x,-y,z'
'x+1/2,y+1/2,z'
'-x+1/2,-y+1/2,-z'
'-x+1/2,y+1/2,-z'
'x+1/2,-y+1/2,z'
loop_
_atom_site_label
_atom_site_type_symbol
_atom_site_fract_x
_atom_site_fract_y
_atom_site_fract_z
Pr1 Pr 0.000 0.000 0.000
Ga1 Ga 0.082 0.500 0.266
F1 F 0.085 0.236 0.268
F2 F 0.126 0.500 0.633
F3 F 0.218 0.000 0.812
```

---

[10]
KTl6In6 | PBE | optimized geometry

Results
* energy of formation from the pure elements: -0.02 eV per atom

Geometry as CIF:
```
data_KTl6In6
_cell_length_a 6.293
_cell_length_b 11.215
_cell_length_c 11.286
_cell_angle_alpha 90.00
_cell_angle_beta 90.00
_cell_angle_gamma 90.00
_symmetry_space_group_name_H-M 'I m m m'
_symmetry_Int_Tables_number 71
_symmetry_space_group_name_Hall '-I 2 2'
loop_
_atom_site_label
_atom_site_type_symbol
_atom_site_fract_x
_atom_site_fract_y
_atom_site_fract_z
K1 K 0.000 0.000 0.000
Tl1 Tl 0.000 0.000 0.355
Tl2 Tl 0.000 0.305 0.500
Tl3 Tl 0.000 0.352 0.000
In1 In 0.000 0.500 0.274
In2 In 0.250 0.250 0.250
```

---

[11]
KRb3Si | PBE | optimized geometry

Results
* energy relative to the elements, uncorrected: 0.30 eV per atom

Geometry as CIF:
```
data_KRb3Si
_cell_length_a 7.029
_cell_length_b 7.029
_cell_length_c 7.029
_cell_angle_alpha 90.00
_cell_angle_beta 90.00
_cell_angle_gamma 90.00
_symmetry_space_group_name_H-M 'P m -3 m'
_symmetry_Int_Tables_number 221
_symmetry_space_group_name_Hall '-P 4 2 3'
loop_
_atom_site_label
_atom_site_type_symbol
_atom_site_fract_x
_atom_site_fract_y
_atom_site_fract_z
K1 K 0.000 0.000 0.000
Rb1 Rb 0.000 0.500 0.500
Si1 Si 0.500 0.500 0.500
```

---

[12]
MgCuBr2 | PBE | optimized geometry

Results
* energy relative to the elements, uncorrected: -0.50 eV per atom

Geometry as CIF:
```
data_MgCuBr2
_cell_length_a 4.884
_cell_length_b 3.590
_cell_length_c 7.016
_cell_angle_alpha 90.00
_cell_angle_beta 107.22
_cell_angle_gamma 90.00
_symmetry_space_group_name_H-M 'P 1 m 1'
_symmetry_Int_Tables_number 6
loop_
_symmetry_equiv_pos_as_xyz
'x,y,z'
'x,-y,z'
loop_
_atom_site_label
_atom_site_type_symbol
_atom_site_fract_x
_atom_site_fract_y
_atom_site_fract_z
Mg1 Mg 0.000 0.000 0.000
Cu1 Cu 0.617 0.500 0.095
Br1 Br 0.171 0.500 0.783
Br2 Br 0.474 0.000 0.301
```

---

no.,DOS(E_F) (states/eV/f.u.),calculated density (g/cm3),final energy (eV per cell)
1,4.28,5.9,-85.21
2,2.03,7.1,-45.94
3,3.50,6.3,-25.26
4,4.46,11.2,-96.91
5,9.97,8.8,-40.61
6,1.41,7.3,-18.10
7,4.09,6.3,-22.72
8,2.23,9.7,-27.60
9,0.79,4.2,-115.20
10,5.38,8.1,-63.94
11,3.84,1.5,-7.91
12,1.19,3.5,-11.04